Record 1
# PmNiHgPt, optimized geometry, DFT GGA-PBE
data_PmNiHgPt
_space_group_name_H-M_alt 'F -4 3 m'
_space_group_IT_number 216
_space_group_name_Hall 'F -4 2 3'
_cell_length_a 6.7909
_cell_length_b 6.7909
_cell_length_c 6.7909
_cell_angle_alpha 90.00
_cell_angle_beta 90.00
_cell_angle_gamma 90.00
loop_
_atom_site_label
_atom_site_fract_x
_atom_site_fract_y
_atom_site_fract_z
_atom_site_occupancy
Pm1 0.0000 0.0000 0.0000 1
Ni1 0.2500 0.2500 0.7500 1
Hg1 0.0000 0.0000 0.5000 1
Pt1 0.2500 0.2500 0.2500 1
# crystal system: cubic
# density of states at the Fermi level: 2.81 states/eV/f.u.
# formation energy: -412 meV/atom

---

Record 2
# CeCo4Cu, optimized geometry, DFT GGA-PBE
data_CeCo4Cu
_space_group_name_H-M_alt 'P -6 m 2'
_space_group_IT_number 187
_space_group_name_Hall 'P -6 2'
_cell_length_a 4.9200
_cell_length_b 4.9200
_cell_length_c 4.0213
_cell_angle_alpha 90.00
_cell_angle_beta 90.00
_cell_angle_gamma 120.00
loop_
_atom_site_label
_atom_site_fract_x
_atom_site_fract_y
_atom_site_fract_z
_atom_site_occupancy
Ce1 0.0000 0.0000 0.0000 1
Co1 0.5007 0.0014 0.5000 1
Co2 0.6667 0.3333 0.0000 1
Cu1 0.3333 0.6667 0.0000 1
# crystal system: hexagonal
# density of states at the Fermi level: 8.36 states/eV/f.u.
# formation energy: -93 meV/atom

---

Record 3
# Li3Mg4Al, optimized geometry, DFT GGA-PBE
data_Li3Mg4Al
_space_group_name_H-M_alt 'C 1 2/m 1'
_space_group_IT_number 12
_cell_length_a 19.7834
_cell_length_b 3.3037
_cell_length_c 4.8804
_cell_angle_alpha 90.00
_cell_angle_beta 100.95
_cell_angle_gamma 90.00
loop_
_space_group_symop_operation_xyz
'x,y,z'
'-x,-y,-z'
'-x,y,-z'
'x,-y,z'
'x+1/2,y+1/2,z'
'-x+1/2,-y+1/2,-z'
'-x+1/2,y+1/2,-z'
'x+1/2,-y+1/2,z'
loop_
_atom_site_label
_atom_site_fract_x
_atom_site_fract_y
_atom_site_fract_z
_atom_site_occupancy
Li1 0.0000 0.0000 0.0000 1
Li2 0.1150 0.0000 0.6332 1
Mg1 0.1224 0.5000 0.1427 1
Mg2 0.2408 0.5000 0.7421 1
Al1 0.0000 0.5000 0.5000 1
# crystal system: monoclinic
# density of states at the Fermi level: 2.33 states/eV/f.u.
# formation energy: -47 meV/atom

---

Record 4
# ZrFe2Cl, optimized geometry, DFT GGA-PBE
data_ZrFe2Cl
_space_group_name_H-M_alt 'I -4 m 2'
_space_group_IT_number 119
_space_group_name_Hall 'I -4 -2'
_cell_length_a 4.2479
_cell_length_b 4.2479
_cell_length_c 7.0563
_cell_angle_alpha 90.00
_cell_angle_beta 90.00
_cell_angle_gamma 90.00
loop_
_atom_site_label
_atom_site_fract_x
_atom_site_fract_y
_atom_site_fract_z
_atom_site_occupancy
Zr1 0.0000 0.0000 0.0000 1
Fe1 0.0000 0.0000 0.5000 1
Fe2 0.0000 0.5000 0.2500 1
Cl1 0.0000 0.5000 0.7500 1
# crystal system: tetragonal
# density of states at the Fermi level: 2.95 states/eV/f.u.
# E_form (uncorrected): 0.341 eV/atom

---

Record 5
# KLiRe2, optimized geometry, DFT GGA-PBE
data_KLiRe2
_space_group_name_H-M_alt 'F -4 3 m'
_space_group_IT_number 216
_space_group_name_Hall 'F -4 2 3'
_cell_length_a 6.4592
_cell_length_b 6.4592
_cell_length_c 6.4592
_cell_angle_alpha 90.00
_cell_angle_beta 90.00
_cell_angle_gamma 90.00
loop_
_atom_site_label
_atom_site_fract_x
_atom_site_fract_y
_atom_site_fract_z
_atom_site_occupancy
K1 0.0000 0.0000 0.0000 1
Li1 0.2500 0.2500 0.7500 1
Re1 0.0000 0.0000 0.5000 1
Re2 0.2500 0.2500 0.2500 1
# crystal system: cubic
# density of states at the Fermi level: 3.83 states/eV/f.u.
# formation energy: 1302 meV/atom

---

Record 6
# TaMoW, optimized geometry, DFT GGA-PBE
data_TaMoW
_space_group_name_H-M_alt 'F -4 3 m'
_space_group_IT_number 216
_space_group_name_Hall 'F -4 2 3'
_cell_length_a 6.1952
_cell_length_b 6.1952
_cell_length_c 6.1952
_cell_angle_alpha 90.00
_cell_angle_beta 90.00
_cell_angle_gamma 90.00
loop_
_atom_site_label
_atom_site_fract_x
_atom_site_fract_y
_atom_site_fract_z
_atom_site_occupancy
Ta1 0.0000 0.0000 0.0000 1
Mo1 0.0000 0.0000 0.5000 1
W1 0.2500 0.2500 0.2500 1
# crystal system: cubic
# density of states at the Fermi level: 2.07 states/eV/f.u.
# formation energy: 794 meV/atom

---

What did the fifth record say?
# KLiRe2, optimized geometry, DFT GGA-PBE
data_KLiRe2
_space_group_name_H-M_alt 'F -4 3 m'
_space_group_IT_number 216
_space_group_name_Hall 'F -4 2 3'
_cell_length_a 6.4592
_cell_length_b 6.4592
_cell_length_c 6.4592
_cell_angle_alpha 90.00
_cell_angle_beta 90.00
_cell_angle_gamma 90.00
loop_
_atom_site_label
_atom_site_fract_x
_atom_site_fract_y
_atom_site_fract_z
_atom_site_occupancy
K1 0.0000 0.0000 0.0000 1
Li1 0.2500 0.2500 0.7500 1
Re1 0.0000 0.0000 0.5000 1
Re2 0.2500 0.2500 0.2500 1
# crystal system: cubic
# density of states at the Fermi level: 3.83 states/eV/f.u.
# formation energy: 1302 meV/atom

---

Number 2 is which compound? CeCo4Cu

---

density of states at the Fermi level of number 6 (TaMoW)? 2.07 states/eV/f.u.

---

Please write out number 6 again, unchanged.
# TaMoW, optimized geometry, DFT GGA-PBE
data_TaMoW
_space_group_name_H-M_alt 'F -4 3 m'
_space_group_IT_number 216
_space_group_name_Hall 'F -4 2 3'
_cell_length_a 6.1952
_cell_length_b 6.1952
_cell_length_c 6.1952
_cell_angle_alpha 90.00
_cell_angle_beta 90.00
_cell_angle_gamma 90.00
loop_
_atom_site_label
_atom_site_fract_x
_atom_site_fract_y
_atom_site_fract_z
_atom_site_occupancy
Ta1 0.0000 0.0000 0.0000 1
Mo1 0.0000 0.0000 0.5000 1
W1 0.2500 0.2500 0.2500 1
# crystal system: cubic
# density of states at the Fermi level: 2.07 states/eV/f.u.
# formation energy: 794 meV/atom